First-principles (PBE) data for a relaxed SmHo2ReO8 crystal, as listed in the Alexandria database.

a = 5.0509 Å, b = 5.0509 Å, c = 6.8065 Å
α = 90.00°, β = 90.00°, γ = 90.03°
Fractional coordinates of all 12 atoms:
Sm (0.0000, 0.0000, 0.0000)
Ho (0.5000, 0.5000, 0.2484)
Ho (0.5000, 0.5000, 0.7516)
Re (0.0000, 0.0000, 0.5000)
O (0.1837, 0.8163, 0.2964)
O (0.1837, 0.8163, 0.7036)
O (0.2667, 0.2667, 0.5000)
O (0.3131, 0.3131, 0.0000)
O (0.6869, 0.6869, 0.0000)
O (0.7333, 0.7333, 0.5000)
O (0.8163, 0.1837, 0.2964)
O (0.8163, 0.1837, 0.7036)

Formation energy without anion corrections   -2.779 eV per atom
Symmetry   Cmmm (65)